# PBE AcCdSnPd, optimized geometry
data_AcCdSnPd
_chemical_formula_sum 'Ac4 Cd4 Sn4 Pd4'
_cell_length_a 7.404
_cell_length_b 7.404
_cell_length_c 7.404
_cell_angle_alpha 90.00
_cell_angle_beta 90.00
_cell_angle_gamma 90.00
_symmetry_space_group_name_H-M 'F -4 3 m'
_symmetry_Int_Tables_number 216
_symmetry_space_group_name_Hall 'F -4 2 3'
loop_
_atom_site_label
_atom_site_type_symbol
_atom_site_fract_x
_atom_site_fract_y
_atom_site_fract_z
Ac1 Ac 0.000 0.000 0.000
Cd1 Cd 0.250 0.250 0.250
Sn1 Sn 0.000 0.000 0.500
Pd1 Pd 0.250 0.250 0.750
# E_tot ... -4.04 eV per atom
# Energy of formation from the pure elements ... -0.489 eV per atom